(1)
Computed, not measured: Ti8Ge2C3 after structural relaxation at the PBE-GGA level of DFT.

Cell lengths 5.523, 6.215, 6.904 Å; angles 116.75, 103.91, 90.00 degrees
Fractional positions:
Ti: 0.913 0.592 0.185
Ti: 0.087 0.408 0.815
Ti: 0.892 0.095 0.190
Ti: 0.108 0.905 0.810
Ti: 0.617 0.660 0.815
Ti: 0.617 0.155 0.815
Ti: 0.383 0.845 0.185
Ti: 0.383 0.340 0.185
Ge: 0.326 0.254 0.509
Ge: 0.674 0.746 0.491
C: 0.500 0.000 0.000
C: 0.000 0.241 0.000
C: 0.000 0.759 0.000

Fermi-level density of states (states/eV/cell): 9.02



(2)
Computed, not measured: HfIr3S after structural relaxation at the PBE-GGA level of DFT.

Cell lengths 4.861, 4.861, 4.861 Å; angles 90.00, 90.00, 90.00 degrees
Fractional positions:
S: 0.500 0.500 0.500
Ir: 0.000 0.500 0.000
Ir: 0.000 0.000 0.500
Ir: 0.500 0.000 0.000
Hf: 0.000 0.000 0.000

E above lowest polymorph (meV/atom): 1584
Fermi-level density of states (states/eV/cell): 7.51



(3)
Computed, not measured: NiHSe2 after structural relaxation at the PBE-GGA level of DFT.

Cell lengths 10.789, 10.789, 3.514 Å; angles 90.00, 90.00, 161.30 degrees
Fractional positions:
Ni: 0.326 0.674 0.250
Ni: 0.674 0.326 0.750
Se: 0.209 0.791 0.250
Se: 0.791 0.209 0.750
Se: 0.908 0.092 0.250
Se: 0.092 0.908 0.750
H: 0.067 0.933 0.250
H: 0.933 0.067 0.750

E above lowest polymorph (meV/atom): 258
Fermi-level density of states (states/eV/cell): 5.98



(4)
Computed, not measured: GeIO6 after structural relaxation at the PBE-GGA level of DFT.

Cell lengths 4.748, 4.748, 5.492 Å; angles 64.38, 83.40, 74.58 degrees
Fractional positions:
Ge: 0.000 0.000 0.000
I: 0.500 0.500 0.000
O: 0.749 0.381 0.742
O: 0.749 0.123 0.258
O: 0.251 0.877 0.742
O: 0.251 0.619 0.258
O: 0.747 0.748 0.000
O: 0.253 0.252 0.000

Fermi-level density of states (states/eV/cell): 5.16



(5)
Computed, not measured: Ho2MgZnPd4 after structural relaxation at the PBE-GGA level of DFT.

Cell lengths 4.703, 4.703, 8.183 Å; angles 73.30, 73.30, 60.00 degrees
Fractional positions:
Ho: 0.753 0.753 0.742
Ho: 0.247 0.247 0.258
Mg: 0.000 0.000 0.000
Zn: 0.500 0.500 0.500
Pd: 0.374 0.374 0.877
Pd: 0.875 0.875 0.375
Pd: 0.125 0.125 0.625
Pd: 0.626 0.626 0.123

Fermi-level density of states (states/eV/cell): 3.67



(6)
Computed, not measured: In2NiAu after structural relaxation at the PBE-GGA level of DFT.

Cell lengths 4.332, 4.332, 5.576 Å; angles 67.14, 67.14, 60.00 degrees
Fractional positions:
In: 0.064 0.064 0.807
In: 0.269 0.269 0.193
Ni: 0.672 0.672 0.983
Au: 0.494 0.494 0.517

E above lowest polymorph (meV/atom): 103
Fermi-level density of states (states/eV/cell): 1.39



(7)
Computed, not measured: PaCdGa after structural relaxation at the PBE-GGA level of DFT.

Cell lengths 3.155, 4.901, 4.901 Å; angles 120.00, 90.00, 90.00 degrees
Fractional positions:
Pa: 0.667 0.333 0.667
Ga: 0.167 0.000 0.000
Cd: 0.166 0.667 0.333

Fermi-level density of states (states/eV/cell): 3.41



(8)
Computed, not measured: Sr3Zn2In2Au4 after structural relaxation at the PBE-GGA level of DFT.

Cell lengths 4.699, 4.699, 15.252 Å; angles 90.00, 90.00, 120.00 degrees
Fractional positions:
Sr: 0.000 0.000 0.733
Sr: 0.000 0.000 0.000
Sr: 0.000 0.000 0.267
Zn: 0.667 0.333 0.863
Zn: 0.333 0.667 0.137
In: 0.667 0.333 0.432
In: 0.333 0.667 0.568
Au: 0.667 0.333 0.131
Au: 0.333 0.667 0.869
Au: 0.667 0.333 0.619
Au: 0.333 0.667 0.381

Fermi-level density of states (states/eV/cell): 6.04



(9)
Computed, not measured: InRe2Br after structural relaxation at the PBE-GGA level of DFT.

Cell lengths 2.875, 5.054, 4.946 Å; angles 90.00, 90.00, 90.00 degrees
Fractional positions:
Re: 0.000 0.000 0.000
Re: 0.500 0.500 0.000
Br: 0.500 0.000 0.500
In: 0.000 0.500 0.500

E above lowest polymorph (meV/atom): 835
Fermi-level density of states (states/eV/cell): 2.84



(10)
Computed, not measured: Pr2PuAu3 after structural relaxation at the PBE-GGA level of DFT.

Cell lengths 3.691, 3.691, 11.245 Å; angles 90.00, 90.00, 90.00 degrees
Fractional positions:
Pr: 0.500 0.500 0.830
Pr: 0.500 0.500 0.170
Pu: 0.500 0.500 0.500
Au: 0.000 0.000 0.000
Au: 0.000 0.000 0.664
Au: 0.000 0.000 0.336

Fermi-level density of states (states/eV/cell): 12.48



(11)
Computed, not measured: LaPm2Cd8 after structural relaxation at the PBE-GGA level of DFT.

Cell lengths 5.382, 6.513, 9.121 Å; angles 110.89, 107.13, 90.08 degrees
Fractional positions:
La: 0.500 0.000 0.000
Pm: 0.692 0.692 0.384
Pm: 0.308 0.308 0.616
Cd: 0.128 0.359 0.257
Cd: 0.870 0.102 0.743
Cd: 0.749 0.502 0.000
Cd: 0.702 0.202 0.404
Cd: 0.298 0.798 0.596
Cd: 0.251 0.498 0.000
Cd: 0.130 0.898 0.257
Cd: 0.872 0.641 0.743

Fermi-level density of states (states/eV/cell): 7.12



(12)
Computed, not measured: GaSnAu4 after structural relaxation at the PBE-GGA level of DFT.

Cell lengths 5.283, 5.250, 9.325 Å; angles 109.01, 106.46, 90.00 degrees
Fractional positions:
Ga: 0.500 0.000 0.500
Ga: 0.000 0.500 0.500
Sn: 0.752 0.750 0.000
Sn: 0.248 0.250 0.000
Au: 0.658 0.132 0.822
Au: 0.836 0.368 0.178
Au: 0.342 0.868 0.178
Au: 0.164 0.632 0.822
Au: 0.077 0.034 0.660
Au: 0.417 0.466 0.340
Au: 0.923 0.966 0.340
Au: 0.583 0.534 0.660

E above lowest polymorph (meV/atom): 0
Fermi-level density of states (states/eV/cell): 2.91



Calculated spin magnetization, 0.00 0.41 0.00 0.09 0.00 0.00 0.29 0.00 0.00 0.96 0.00 0.00 μB/atom (same order as the records).
Calculated DFT total energy, -8.176 -6.229 -3.900 -4.851 -4.880 -3.658 -4.554 -2.912 -6.213 -6.247 -2.278 -3.466 eV per atom (same order as the records).
Calculated calculated volume, 15.68 22.98 16.39 13.45 18.48 20.24 21.88 26.51 17.97 25.53 25.76 19.44 Å³/atom (same order as the records).